No. 1
This record from Alexandria describes Nd4Ge2N after structural relaxation. The functional is PBE-GGA.

Cell lengths 4.036, 8.468, 7.351 Å; angles 132.92, 105.93, 90.00 degrees
Element x y z (fractional)
Nd: 0.659 0.242 0.318
Nd: 0.341 0.758 0.682
Nd: 0.920 0.182 0.840
Nd: 0.080 0.818 0.160
Ge: 0.615 0.567 0.231
Ge: 0.385 0.433 0.769
N: 0.000 0.000 0.000

Results
Formation energy (no corrections) ... -574 kJ/mol of formula units

No. 2
This record from Alexandria describes In2Hg2Pb after structural relaxation. The functional is PBE-GGA.

Cell lengths 4.495, 4.495, 7.628 Å; angles 72.86, 72.86, 90.00 degrees
Element x y z (fractional)
Hg: 0.398 0.398 0.204
Hg: 0.602 0.602 0.796
In: 0.750 0.250 0.500
In: 0.250 0.750 0.500
Pb: 0.000 0.000 0.000

Results
ΔE_f ... 90 meV/atom

No. 3
This record from Alexandria describes CeHfPdN3 after structural relaxation. The functional is PBE-GGA.

Cell lengths 3.252, 6.938, 7.813 Å; angles 97.50, 90.00, 90.00 degrees
Element x y z (fractional)
N: 0.750 0.178 0.418
N: 0.750 0.422 0.133
N: 0.250 0.578 0.867
N: 0.750 0.860 0.121
N: 0.250 0.140 0.879
N: 0.250 0.822 0.582
Ce: 0.750 0.844 0.798
Ce: 0.250 0.156 0.202
Hf: 0.750 0.355 0.864
Hf: 0.250 0.645 0.136
Pd: 0.250 0.148 0.597
Pd: 0.750 0.852 0.403

Results
Formation energy (no corrections) ... -524 kJ/mol of formula units

No. 4
This record from Alexandria describes BaNa2TcAu after structural relaxation. The functional is PBE-GGA.

Cell lengths 5.433, 6.260, 5.433 Å; angles 90.00, 90.00, 90.00 degrees
Element x y z (fractional)
Na: 0.000 0.000 0.500
Na: 0.500 0.000 0.000
Tc: 0.500 0.500 0.500
Ba: 0.000 0.500 0.000
Au: 0.000 0.000 0.000

Results
ΔE_f ... 759 meV/atom

No. 5
This record from Alexandria describes SrLi4InSn2 after structural relaxation. The functional is PBE-GGA.

Cell lengths 4.842, 4.842, 9.328 Å; angles 74.96, 74.96, 60.00 degrees
Element x y z (fractional)
Sn: 0.250 0.250 0.251
Sn: 0.750 0.750 0.749
Li: 0.399 0.399 0.803
Li: 0.601 0.601 0.197
Li: 0.870 0.870 0.391
Li: 0.130 0.130 0.609
Sr: 0.000 0.000 0.000
In: 0.500 0.500 0.500

Results
ΔE_f ... -371 meV/atom

No. 6
This record from Alexandria describes ThTi2Zn after structural relaxation. The functional is PBE-GGA.

Cell lengths 4.092, 4.420, 4.420 Å; angles 90.00, 90.00, 90.00 degrees
Element x y z (fractional)
Zn: 0.500 0.500 0.500
Th: 0.500 0.000 0.000
Ti: 0.000 0.500 0.000
Ti: 0.000 0.000 0.500

Results
ΔE_f ... 69 meV/atom

no.,E_tot (eV per atom)
1,-6.083
2,-1.868
3,-8.581
4,-2.882
5,-2.881
6,-6.052